Here is a relaxed Nd6Ga2Hg crystal from the Alexandria database. Energies are from PBE.

Output
Energy relative to the elements   -0.2654 eV/atom
Total magnetic moment   0.0 μB per formula unit
Crystal system   monoclinic
Total energy   -4.1501 eV per atom
Offset from the most stable computed form   0.092 eV per atom

Geometry as CIF:
```
data_Nd6Ga2Hg
_chemical_formula_sum 'Nd12 Ga4 Hg2'
_space_group_name_H-M_alt 'P 1 21/c 1'
_space_group_IT_number 14
_space_group_name_Hall '-P 2ybc'
_cell_length_a 6.6016
_cell_length_b 8.5010
_cell_length_c 11.2484
_cell_angle_alpha 90.00
_cell_angle_beta 119.51
_cell_angle_gamma 90.00
loop_
_atom_site_label
_atom_site_fract_x
_atom_site_fract_y
_atom_site_fract_z
Nd1 0.0619 0.0544 0.2193
Nd2 0.1736 0.6992 0.0701
Nd3 0.4150 0.1513 0.0607
Ga1 0.3116 0.1244 0.7419
Hg1 0.5000 0.0000 0.5000
```

Here is a relaxed NdGaHg2 crystal from the Alexandria database. Energies are from PBE.

Output
Energy relative to the elements   0.1233 eV/atom
Total magnetic moment   0.0 μB per formula unit
Crystal system   trigonal
Total energy   -1.9762 eV per atom

Geometry as CIF:
```
data_NdGaHg2
_chemical_formula_sum 'Nd3 Ga3 Hg6'
_space_group_name_H-M_alt 'R -3 m'
_space_group_IT_number 166
_space_group_name_Hall '-R 3 2"'
_cell_length_a 3.4206
_cell_length_b 3.4206
_cell_length_c 32.8004
_cell_angle_alpha 90.00
_cell_angle_beta 90.00
_cell_angle_gamma 120.00
loop_
_atom_site_label
_atom_site_fract_x
_atom_site_fract_y
_atom_site_fract_z
Nd1 0.0000 0.0000 0.0000
Ga1 0.0000 0.0000 0.5000
Hg1 0.0000 0.0000 0.0959
```

Here is a relaxed Nd3GaHg crystal from the Alexandria database. Energies are from PBE.

Output
Energy relative to the elements   -0.3738 eV/atom
Total magnetic moment   0.0 μB per formula unit
Crystal system   orthorhombic
Total energy   -3.9003 eV per atom
Offset from the most stable computed form   0.000 eV per atom

Geometry as CIF:
```
data_Nd3GaHg
_chemical_formula_sum 'Nd12 Ga4 Hg4'
_space_group_name_H-M_alt 'C m c m'
_space_group_IT_number 63
_space_group_name_Hall '-C 2c 2'
_cell_length_a 5.3681
_cell_length_b 19.7817
_cell_length_c 5.4001
_cell_angle_alpha 90.00
_cell_angle_beta 90.00
_cell_angle_gamma 90.00
loop_
_atom_site_label
_atom_site_fract_x
_atom_site_fract_y
_atom_site_fract_z
Nd1 0.0000 0.0592 0.2500
Nd2 0.0000 0.2467 0.2500
Nd3 0.0000 0.4313 0.2500
Ga1 0.0000 0.1538 0.7500
Hg1 0.0000 0.3460 0.7500
```

Here is a relaxed Nd3GaHg5 crystal from the Alexandria database. Energies are from PBE.

Output
Energy relative to the elements   -0.4447 eV/atom
Total magnetic moment   0.0 μB per formula unit
Crystal system   hexagonal
Total energy   -2.5380 eV per atom

Geometry as CIF:
```
data_Nd3GaHg5
_chemical_formula_sum 'Nd6 Ga2 Hg10'
_space_group_name_H-M_alt 'P 63/m c m'
_space_group_IT_number 193
_space_group_name_Hall '-P 6c 2'
_cell_length_a 9.1155
_cell_length_b 9.1155
_cell_length_c 6.4630
_cell_angle_alpha 90.00
_cell_angle_beta 90.00
_cell_angle_gamma 120.00
loop_
_atom_site_label
_atom_site_fract_x
_atom_site_fract_y
_atom_site_fract_z
Nd1 0.0000 0.3118 0.2500
Ga1 0.0000 0.0000 0.0000
Hg1 0.0000 0.3517 0.7500
Hg2 0.3333 0.6667 0.0000
```

Here is a relaxed Nd4Ga12Hg crystal from the Alexandria database. Energies are from PBE.

Output
Energy relative to the elements   -0.5064 eV/atom
Total magnetic moment   0.0 μB per formula unit
Crystal system   cubic
Total energy   -3.7826 eV per atom

Geometry as CIF:
```
data_Nd4Ga12Hg
_chemical_formula_sum 'Nd8 Ga24 Hg2'
_space_group_name_H-M_alt 'I m -3 m'
_space_group_IT_number 229
_space_group_name_Hall '-I 4 2 3'
_cell_length_a 8.9411
_cell_length_b 8.9411
_cell_length_c 8.9411
_cell_angle_alpha 90.00
_cell_angle_beta 90.00
_cell_angle_gamma 90.00
loop_
_atom_site_label
_atom_site_fract_x
_atom_site_fract_y
_atom_site_fract_z
Nd1 0.2500 0.2500 0.2500
Ga1 0.0000 0.0000 0.3151
Ga2 0.0000 0.2500 0.5000
Hg1 0.0000 0.0000 0.0000
```

Here is a relaxed Nd6Ga3Hg crystal from the Alexandria database. Energies are from PBE.

Output
Energy relative to the elements   -0.2922 eV/atom
Total magnetic moment   0.0 μB per formula unit
Crystal system   monoclinic
Total energy   -4.0911 eV per atom

Geometry as CIF:
```
data_Nd6Ga3Hg
_chemical_formula_sum 'Nd12 Ga6 Hg2'
_space_group_name_H-M_alt 'P 1 21/c 1'
_space_group_IT_number 14
_space_group_name_Hall '-P 2ybc'
_cell_length_a 7.9451
_cell_length_b 8.0980
_cell_length_c 12.0832
_cell_angle_alpha 90.00
_cell_angle_beta 129.29
_cell_angle_gamma 90.00
loop_
_atom_site_label
_atom_site_fract_x
_atom_site_fract_y
_atom_site_fract_z
Nd1 0.0062 0.1027 0.2449
Nd2 0.2188 0.6717 0.0665
Nd3 0.3999 0.1595 0.0711
Ga1 0.0000 0.0000 0.0000
Ga2 0.2979 0.1401 0.7494
Hg1 0.5000 0.0000 0.5000
```

Here is a relaxed Nd5Ga4Hg crystal from the Alexandria database. Energies are from PBE.

Output
Energy relative to the elements   -0.5392 eV/atom
Total magnetic moment   0.0 μB per formula unit
Crystal system   tetragonal
Total energy   -4.1640 eV per atom

Geometry as CIF:
```
data_Nd5Ga4Hg
_chemical_formula_sum 'Nd5 Ga4 Hg1'
_space_group_name_H-M_alt 'P 4/m m m'
_space_group_IT_number 123
_space_group_name_Hall '-P 4 2'
_cell_length_a 3.6978
_cell_length_b 3.6978
_cell_length_c 18.9122
_cell_angle_alpha 90.00
_cell_angle_beta 90.00
_cell_angle_gamma 90.00
loop_
_atom_site_label
_atom_site_fract_x
_atom_site_fract_y
_atom_site_fract_z
Nd1 0.0000 0.0000 0.0000
Nd2 0.0000 0.0000 0.1949
Nd3 0.0000 0.0000 0.3904
Ga1 0.5000 0.5000 0.0973
Ga2 0.5000 0.5000 0.2949
Hg1 0.5000 0.5000 0.5000
```

Here is a relaxed Nd2GaHg3 crystal from the Alexandria database. Energies are from PBE.

Output
Energy relative to the elements   -0.4671 eV/atom
Total magnetic moment   0.0 μB per formula unit
Crystal system   orthorhombic
Total energy   -2.7118 eV per atom
Offset from the most stable computed form   0.000 eV per atom

Geometry as CIF:
```
data_Nd2GaHg3
_chemical_formula_sum 'Nd2 Ga1 Hg3'
_space_group_name_H-M_alt 'P m m 2'
_space_group_IT_number 25
_space_group_name_Hall 'P 2 -2'
_cell_length_a 3.6768
_cell_length_b 4.8827
_cell_length_c 8.4241
_cell_angle_alpha 90.00
_cell_angle_beta 90.00
_cell_angle_gamma 90.00
loop_
_atom_site_label
_atom_site_fract_x
_atom_site_fract_y
_atom_site_fract_z
Nd1 0.0000 0.0000 0.0000
Nd2 0.0000 0.5000 0.4873
Ga1 0.5000 0.0000 0.3250
Hg1 0.5000 0.0000 0.6495
Hg2 0.5000 0.5000 0.1669
Hg3 0.5000 0.5000 0.8255
```

Here is a relaxed NdGaHg2 crystal from the Alexandria database. Energies are from PBE.

Output
Energy relative to the elements   -0.3963 eV/atom
Total magnetic moment   0.0 μB per formula unit
Crystal system   orthorhombic
Total energy   -2.4959 eV per atom

Geometry as CIF:
```
data_NdGaHg2
_chemical_formula_sum 'Nd2 Ga2 Hg4'
_space_group_name_H-M_alt 'P m m n'
_space_group_IT_number 59
_cell_length_a 4.7643
_cell_length_b 6.4316
_cell_length_c 6.2792
_cell_angle_alpha 90.00
_cell_angle_beta 90.00
_cell_angle_gamma 90.00
loop_
_space_group_symop_operation_xyz
'x,y,z'
'-x,-y,-z'
'-x+1/2,-y+1/2,z'
'x+1/2,y+1/2,-z'
'x+1/2,-y,-z'
'-x+1/2,y,z'
'-x,y+1/2,-z'
'x,-y+1/2,z'
loop_
_atom_site_label
_atom_site_fract_x
_atom_site_fract_y
_atom_site_fract_z
Nd1 0.2500 0.2500 0.1051
Ga1 0.2500 0.7500 0.2384
Hg1 0.2500 0.5067 0.6532
```

Here is a relaxed Nd4GaHg5 crystal from the Alexandria database. Energies are from PBE.

Output
Energy relative to the elements   -0.4642 eV/atom
Total magnetic moment   0.0 μB per formula unit
Crystal system   monoclinic
Total energy   -2.8249 eV per atom

Geometry as CIF:
```
data_Nd4GaHg5
_chemical_formula_sum 'Nd8 Ga2 Hg10'
_space_group_name_H-M_alt 'C 1 2/m 1'
_space_group_IT_number 12
_space_group_name_Hall '-C 2y'
_cell_length_a 16.0457
_cell_length_b 5.2481
_cell_length_c 6.5937
_cell_angle_alpha 90.00
_cell_angle_beta 104.64
_cell_angle_gamma 90.00
loop_
_atom_site_label
_atom_site_fract_x
_atom_site_fract_y
_atom_site_fract_z
Nd1 0.0898 0.0000 0.3518
Nd2 0.1851 0.5000 0.8095
Ga1 0.0000 0.5000 0.5000
Hg1 0.0000 0.5000 0.0000
Hg2 0.1039 0.0000 0.8868
Hg3 0.2124 0.5000 0.3323
```

Here is a relaxed Nd2GaHg crystal from the Alexandria database. Energies are from PBE.

Output
Energy relative to the elements   -0.5150 eV/atom
Total magnetic moment   0.0 μB per formula unit
Crystal system   tetragonal
Total energy   -3.7311 eV per atom

Geometry as CIF:
```
data_Nd2GaHg
_chemical_formula_sum 'Nd2 Ga1 Hg1'
_space_group_name_H-M_alt 'P 4/m m m'
_space_group_IT_number 123
_space_group_name_Hall '-P 4 2'
_cell_length_a 3.6886
_cell_length_b 3.6886
_cell_length_c 7.8539
_cell_angle_alpha 90.00
_cell_angle_beta 90.00
_cell_angle_gamma 90.00
loop_
_atom_site_label
_atom_site_fract_x
_atom_site_fract_y
_atom_site_fract_z
Nd1 0.0000 0.0000 0.2352
Ga1 0.5000 0.5000 0.0000
Hg1 0.5000 0.5000 0.5000
```

Here is a relaxed Nd8GaHg2 crystal from the Alexandria database. Energies are from PBE.

Output
Energy relative to the elements   -0.1958 eV/atom
Total magnetic moment   0.0 μB per formula unit
Crystal system   orthorhombic
Total energy   -3.9934 eV per atom
Offset from the most stable computed form   0.047 eV per atom

Geometry as CIF:
```
data_Nd8GaHg2
_chemical_formula_sum 'Nd16 Ga2 Hg4'
_space_group_name_H-M_alt 'I m m m'
_space_group_IT_number 71
_space_group_name_Hall '-I 2 2'
_cell_length_a 5.1794
_cell_length_b 8.7126
_cell_length_c 14.9387
_cell_angle_alpha 90.00
_cell_angle_beta 90.00
_cell_angle_gamma 90.00
loop_
_atom_site_label
_atom_site_fract_x
_atom_site_fract_y
_atom_site_fract_z
Nd1 0.0000 0.0000 0.1315
Nd2 0.0000 0.2277 0.3426
Nd3 0.0000 0.3184 0.0000
Ga1 0.0000 0.5000 0.5000
Hg1 0.0000 0.5000 0.1970
```